(1)
First-principles (PBE-GGA) data for CdGePRuPt after structural relaxation, as listed in the Alexandria database.

Calculated values
Energy of formation   -232.2 meV/atom

abc: 5.516 3.144 5.722
angles: 90.00 117.52 90.00
Space group Pm (No. 6)
Unique sites:
Cd1 0.000 0.000 0.000
Ge1 0.595 0.500 0.373
P1 0.385 0.500 0.656
Ru1 0.498 0.000 0.991
Pt1 0.007 0.000 0.501

---

(2)
First-principles (PBE-GGA) data for CdGePRuPt after structural relaxation, as listed in the Alexandria database.

Calculated values
Energy of formation   -172.4 meV/atom

abc: 3.052 4.722 6.603
angles: 110.26 90.14 90.26
Space group P1 (No. 1)
Unique sites:
Cd1 0.000 0.000 0.000
Ge1 0.501 0.140 0.569
P1 0.504 0.620 0.332
Ru1 0.005 0.553 0.568
Pt1 0.500 0.482 0.963

---

(3)
First-principles (PBE-GGA) data for CdGePRuPt after structural relaxation, as listed in the Alexandria database.

Calculated values
Energy of formation   -225.3 meV/atom

abc: 5.239 2.899 5.840
angles: 90.00 104.05 90.00
Space group Pm (No. 6)
Unique sites:
Cd1 0.000 0.000 0.000
Ge1 0.628 0.000 0.335
P1 0.408 0.000 0.646
Ru1 0.485 0.500 0.965
Pt1 0.029 0.500 0.544

---

(4)
First-principles (PBE-GGA) data for CdGePRuPt after structural relaxation, as listed in the Alexandria database.

Calculated values
Energy of formation   -201.8 meV/atom

abc: 3.663 4.831 5.604
angles: 81.58 86.61 74.49
Space group P1 (No. 1)
Unique sites:
Cd1 0.000 0.000 0.000
Ge1 0.796 0.724 0.582
P1 0.299 0.354 0.248
Ru1 0.814 0.233 0.466
Pt1 0.359 0.477 0.842

---

(5)
First-principles (PBE-GGA) data for CdGePRuPt after structural relaxation, as listed in the Alexandria database.

Calculated values
Energy of formation   -238.5 meV/atom

abc: 4.915 3.556 5.691
angles: 90.00 111.52 90.00
Space group Pm (No. 6)
Unique sites:
Cd1 0.000 0.000 0.000
Ge1 0.568 0.000 0.438
P1 0.325 0.500 0.787
Ru1 0.123 0.000 0.549
Pt1 0.675 0.500 0.182

---

(6)
First-principles (PBE-GGA) data for CdGePRuPt after structural relaxation, as listed in the Alexandria database.

Calculated values
Energy of formation   -181.6 meV/atom

abc: 4.367 4.672 4.757
angles: 73.04 82.82 76.58
Space group P1 (No. 1)
Unique sites:
Cd1 0.000 0.000 0.000
Ge1 0.750 0.619 0.814
P1 0.397 0.258 0.386
Ru1 0.863 0.403 0.373
Pt1 0.272 0.774 0.523

---

(7)
First-principles (PBE-GGA) data for CdGePRuPt after structural relaxation, as listed in the Alexandria database.

Calculated values
Energy of formation   -245.1 meV/atom

abc: 11.431 3.079 4.988
angles: 90.00 102.08 90.00
Space group Cm (No. 8)
Unique sites:
Cd1 0.000 0.000 0.000
Ge1 0.229 0.000 0.646
P1 0.343 0.000 0.315
Ru1 0.225 0.500 0.037
Pt1 0.045 0.500 0.527

---

(8)
First-principles (PBE-GGA) data for CdGePRuPt after structural relaxation, as listed in the Alexandria database.

Calculated values
Energy of formation   -242.6 meV/atom

abc: 2.989 4.605 7.511
angles: 107.79 90.06 108.93
Space group P1 (No. 1)
Unique sites:
Cd1 0.000 0.000 0.000
Ge1 0.825 0.645 0.315
P1 0.175 0.347 0.593
Ru1 0.553 0.102 0.337
Pt1 0.477 0.958 0.679

---

(9)
First-principles (PBE-GGA) data for CdGePRuPt after structural relaxation, as listed in the Alexandria database.

Calculated values
Energy of formation   -194.8 meV/atom

abc: 12.244 2.996 4.955
angles: 90.00 101.80 90.00
Space group Cm (No. 8)
Unique sites:
Cd1 0.000 0.000 0.000
Ge1 0.165 0.500 0.647
P1 0.318 0.500 0.410
Ru1 0.462 0.000 0.475
Pt1 0.277 0.000 0.016

---

(10)
First-principles (PBE-GGA) data for CdGeP2S after structural relaxation, as listed in the Alexandria database.

Calculated values
ΔE_f (raw)   719 meV per atom

abc: 4.767 4.767 4.746
angles: 90.00 90.00 90.00
Space group P4/mmm (No. 123)
Unique sites:
Cd1 0.000 0.000 0.000
Ge1 0.500 0.500 0.500
P1 0.000 0.500 0.500
S1 0.500 0.500 0.000

---

(11)
First-principles (PBE-GGA) data for Cd2GeSbP after structural relaxation, as listed in the Alexandria database.

Calculated values
ΔE_f (raw)   497 meV per atom

abc: 4.938 4.938 5.477
angles: 90.00 90.00 90.00
Space group P4/mmm (No. 123)
Unique sites:
Cd1 0.000 0.500 0.000
Ge1 0.000 0.000 0.500
Sb1 0.500 0.500 0.500
P1 0.500 0.500 0.000

---

(12)
First-principles (PBE-GGA) data for Cd2GeTeP after structural relaxation, as listed in the Alexandria database.

Calculated values
ΔE_f (raw)   220 meV per atom

abc: 5.086 5.086 4.992
angles: 90.00 90.00 90.00
Space group P4/mmm (No. 123)
Unique sites:
Cd1 0.000 0.500 0.000
Ge1 0.000 0.000 0.500
Te1 0.500 0.500 0.500
P1 0.000 0.000 0.000

---

(13)
First-principles (PBE-GGA) data for YCd2GeP after structural relaxation, as listed in the Alexandria database.

Calculated values
Energy of formation   314.2 meV/atom

abc: 5.049 5.049 5.002
angles: 90.00 90.00 90.00
Space group P4/mmm (No. 123)
Unique sites:
Y1 0.000 0.000 0.000
Cd1 0.000 0.500 0.500
Ge1 0.500 0.500 0.500
P1 0.500 0.500 0.000

---

(14)
First-principles (PBE-GGA) data for ZnCd2GeP after structural relaxation, as listed in the Alexandria database.

Calculated values
Energy of formation   696.6 meV/atom

abc: 5.053 5.053 4.659
angles: 90.00 90.00 90.00
Space group P4/mmm (No. 123)
Unique sites:
Zn1 0.000 0.000 0.000
Cd1 0.000 0.500 0.000
Ge1 0.000 0.000 0.500
P1 0.500 0.500 0.500

---

(15)
First-principles (PBE-GGA) data for Pa2CdGe2 after structural relaxation, as listed in the Alexandria database.

Calculated values
Energy of formation   -273.5 meV/atom

abc: 7.177 7.177 4.359
angles: 90.00 90.00 90.00
Space group P4/mbm (No. 127)
Unique sites:
Pa1 0.177 0.323 0.000
Cd1 0.000 0.000 0.500
Ge1 0.126 0.626 0.500

---

(16)
First-principles (PBE-GGA) data for Pa2CdGe after structural relaxation, as listed in the Alexandria database.

Calculated values
Energy of formation   -52.4 meV/atom

abc: 4.473 4.473 4.542
angles: 90.00 90.00 90.00
Space group P4/mmm (No. 123)
Unique sites:
Pa1 0.000 0.500 0.000
Cd1 0.000 0.000 0.500
Ge1 0.500 0.500 0.500

---

(17)
First-principles (PBE-GGA) data for PaCdGe4 after structural relaxation, as listed in the Alexandria database.

Calculated values
Energy of formation   12.4 meV/atom

abc: 7.851 7.851 7.851
angles: 90.00 90.00 90.00
Space group F-43m (No. 216)
Unique sites:
Pa1 0.000 0.000 0.000
Cd1 0.250 0.250 0.250
Ge1 0.125 0.125 0.625

---

(18)
First-principles (PBE-GGA) data for Pa2CdGe after structural relaxation, as listed in the Alexandria database.

Calculated values
Energy of formation   157.2 meV/atom

abc: 3.1261 3.1261 34.8000
angles: 90.00 90.00 120.00
Space group R-3m (No. 166, hexagonal axes)
Unique sites:
Pa1 0.0000 0.0000 0.0951
Cd1 0.0000 0.0000 0.0000
Ge1 0.0000 0.0000 0.5000

---

(19)
First-principles (PBE-GGA) data for PaCdGePd after structural relaxation, as listed in the Alexandria database.

Calculated values
Energy of formation   -298.5 meV/atom

abc: 6.888 6.888 6.888
angles: 90.00 90.00 90.00
Space group F-43m (No. 216)
Unique sites:
Pa1 0.000 0.000 0.000
Cd1 0.000 0.000 0.500
Ge1 0.250 0.250 0.250
Pd1 0.250 0.250 0.750

---

(20)
First-principles (PBE-GGA) data for PmPaCdGe after structural relaxation, as listed in the Alexandria database.

Calculated values
Energy of formation   -122.2 meV/atom

abc: 7.376 7.376 7.376
angles: 90.00 90.00 90.00
Space group F-43m (No. 216)
Unique sites:
Pm1 0.000 0.000 0.000
Pa1 0.000 0.000 0.500
Cd1 0.250 0.250 0.250
Ge1 0.250 0.250 0.750